(1)
# GGA-PBE Dy3Y2Er6In, optimized geometry
data_Dy3Y2Er6In
_chemical_formula_sum 'Dy6 Y4 Er12 In2'
_symmetry_space_group_name_H-M 'C 1 2/m 1'
_symmetry_Int_Tables_number 12
_cell_length_a 6.044
_cell_length_b 10.477
_cell_length_c 11.606
_cell_angle_alpha 90.00
_cell_angle_beta 100.08
_cell_angle_gamma 90.00
loop_
_symmetry_equiv_pos_as_xyz
'x,y,z'
'-x,-y,-z'
'-x,y,-z'
'x,-y,z'
'x+1/2,y+1/2,z'
'-x+1/2,-y+1/2,-z'
'-x+1/2,y+1/2,-z'
'x+1/2,-y+1/2,z'
loop_
_atom_site_label
_atom_site_type_symbol
_atom_site_fract_x
_atom_site_fract_y
_atom_site_fract_z
Dy1 Dy 0.000 0.000 0.000
Dy2 Dy 0.000 0.333 0.000
Y1 Y 0.000 0.166 0.500
Er1 Er 0.246 0.336 0.748
Er2 Er 0.247 0.500 0.251
In1 In 0.000 0.500 0.500
# Formation energy from the elements: -0.0413 eV per atom

(2)
# GGA-PBE Dy6Y2Er3In, optimized geometry
data_Dy6Y2Er3In
_chemical_formula_sum 'Dy12 Y4 Er6 In2'
_symmetry_space_group_name_H-M 'C 1 2/m 1'
_symmetry_Int_Tables_number 12
_cell_length_a 6.061
_cell_length_b 10.510
_cell_length_c 11.629
_cell_angle_alpha 90.00
_cell_angle_beta 100.07
_cell_angle_gamma 90.00
loop_
_symmetry_equiv_pos_as_xyz
'x,y,z'
'-x,-y,-z'
'-x,y,-z'
'x,-y,z'
'x+1/2,y+1/2,z'
'-x+1/2,-y+1/2,-z'
'-x+1/2,y+1/2,-z'
'x+1/2,-y+1/2,z'
loop_
_atom_site_label
_atom_site_type_symbol
_atom_site_fract_x
_atom_site_fract_y
_atom_site_fract_z
Dy1 Dy 0.246 0.000 0.249
Dy2 Dy 0.247 0.164 0.749
Y1 Y 0.000 0.334 0.500
Er1 Er 0.000 0.167 0.000
Er2 Er 0.000 0.500 0.000
In1 In 0.000 0.000 0.500
# Formation energy from the elements: -0.0421 eV per atom

(3)
# GGA-PBE DyErZnIn, optimized geometry
data_DyErZnIn
_chemical_formula_sum 'Dy4 Er4 Zn4 In4'
_symmetry_space_group_name_H-M 'F -4 3 m'
_symmetry_Int_Tables_number 216
_symmetry_space_group_name_Hall 'F -4 2 3'
_cell_length_a 7.318
_cell_length_b 7.318
_cell_length_c 7.318
_cell_angle_alpha 90.00
_cell_angle_beta 90.00
_cell_angle_gamma 90.00
loop_
_atom_site_label
_atom_site_type_symbol
_atom_site_fract_x
_atom_site_fract_y
_atom_site_fract_z
Dy1 Dy 0.000 0.000 0.000
Er1 Er 0.000 0.000 0.500
Zn1 Zn 0.250 0.250 0.750
In1 In 0.250 0.250 0.250
# ΔE to the lowest computed polymorph: 22 meV/atom
# Formation energy from the elements: -0.3917 eV per atom

(4)
# GGA-PBE DyErZnIn, optimized geometry
data_DyErZnIn
_chemical_formula_sum 'Dy1 Er1 Zn1 In1'
_symmetry_space_group_name_H-M 'P 4 m m'
_symmetry_Int_Tables_number 99
_cell_length_a 3.623
_cell_length_b 3.623
_cell_length_c 7.405
_cell_angle_alpha 90.00
_cell_angle_beta 90.00
_cell_angle_gamma 90.00
loop_
_symmetry_equiv_pos_as_xyz
'x,y,z'
'-y,x,z'
'-x,-y,z'
'y,-x,z'
'-x,y,z'
'y,x,z'
'x,-y,z'
'-y,-x,z'
loop_
_atom_site_label
_atom_site_type_symbol
_atom_site_fract_x
_atom_site_fract_y
_atom_site_fract_z
Dy1 Dy 0.000 0.000 0.000
Er1 Er 0.000 0.000 0.539
Zn1 Zn 0.500 0.500 0.765
In1 In 0.500 0.500 0.272
# ΔE to the lowest computed polymorph: 0 meV/atom
# Formation energy from the elements: -0.4139 eV per atom

(5)
# GGA-PBE Dy2ErZn2In2, optimized geometry
data_Dy2ErZn2In2
_chemical_formula_sum 'Dy6 Er3 Zn6 In6'
_symmetry_space_group_name_H-M 'R -3 m'
_symmetry_Int_Tables_number 166
_symmetry_space_group_name_Hall '-R 3 2"'
_cell_length_a 4.6948
_cell_length_b 4.6948
_cell_length_c 27.0473
_cell_angle_alpha 90.00
_cell_angle_beta 90.00
_cell_angle_gamma 120.00
loop_
_atom_site_label
_atom_site_type_symbol
_atom_site_fract_x
_atom_site_fract_y
_atom_site_fract_z
Dy1 Dy 0.0000 0.0000 0.1271
Er1 Er 0.0000 0.0000 0.0000
Zn1 Zn 0.0000 0.0000 0.3944
In1 In 0.0000 0.0000 0.2637
# Formation energy from the elements: -0.2649 eV per atom

(6)
# GGA-PBE Dy2ErIr3, optimized geometry
data_Dy2ErIr3
_chemical_formula_sum 'Dy4 Er2 Ir6'
_symmetry_space_group_name_H-M 'I m m m'
_symmetry_Int_Tables_number 71
_symmetry_space_group_name_Hall '-I 2 2'
_cell_length_a 4.683
_cell_length_b 5.600
_cell_length_c 9.885
_cell_angle_alpha 90.00
_cell_angle_beta 90.00
_cell_angle_gamma 90.00
loop_
_atom_site_label
_atom_site_type_symbol
_atom_site_fract_x
_atom_site_fract_y
_atom_site_fract_z
Dy1 Dy 0.000 0.000 0.168
Er1 Er 0.000 0.000 0.500
Ir1 Ir 0.000 0.500 0.160
Ir2 Ir 0.000 0.500 0.500
# ΔE to the lowest computed polymorph: 368 meV/atom
# Formation energy from the elements: -0.4691 eV per atom

(7)
# GGA-PBE DyErIr2, optimized geometry
data_DyErIr2
_chemical_formula_sum 'Dy4 Er4 Ir8'
_symmetry_space_group_name_H-M 'F m -3 m'
_symmetry_Int_Tables_number 225
_symmetry_space_group_name_Hall '-F 4 2 3'
_cell_length_a 6.824
_cell_length_b 6.824
_cell_length_c 6.824
_cell_angle_alpha 90.00
_cell_angle_beta 90.00
_cell_angle_gamma 90.00
loop_
_atom_site_label
_atom_site_type_symbol
_atom_site_fract_x
_atom_site_fract_y
_atom_site_fract_z
Dy1 Dy 0.000 0.000 0.000
Er1 Er 0.000 0.000 0.500
Ir1 Ir 0.250 0.250 0.250
# ΔE to the lowest computed polymorph: 7 meV/atom
# Formation energy from the elements: -0.8447 eV per atom

(8)
# GGA-PBE Dy8ErIr6, optimized geometry
data_Dy8ErIr6
_chemical_formula_sum 'Dy24 Er3 Ir18'
_symmetry_space_group_name_H-M 'R -3'
_symmetry_Int_Tables_number 148
_symmetry_space_group_name_Hall '-R 3'
_cell_length_a 8.2642
_cell_length_b 8.2642
_cell_length_c 17.9836
_cell_angle_alpha 90.00
_cell_angle_beta 90.00
_cell_angle_gamma 120.00
loop_
_atom_site_label
_atom_site_type_symbol
_atom_site_fract_x
_atom_site_fract_y
_atom_site_fract_z
Dy1 Dy 0.0000 0.0000 0.1670
Dy2 Dy 0.0007 0.3324 0.6119
Er1 Er 0.0000 0.0000 0.5000
Ir1 Ir 0.0002 0.3329 0.4434
# Formation energy from the elements: -0.7965 eV per atom